# PBE CaCdSe2, relaxed
# * spin magnetization: 0.000 μB per formula unit
# * raw formation energy: -4.65 eV/f.u.
# * uncorrected energy: -3.6343 eV/atom
# * N(E_F): 0.76 states/eV per cell
# * calculated density: 4.874 g cm⁻³
data_CaCdSe2
_space_group_name_H-M_alt 'C 1 m 1'
_space_group_IT_number 8
_cell_length_a 13.677
_cell_length_b 3.836
_cell_length_c 4.031
_cell_angle_alpha 90.00
_cell_angle_beta 90.02
_cell_angle_gamma 90.00
loop_
_space_group_symop_operation_xyz
'x,y,z'
'x,-y,z'
'x+1/2,y+1/2,z'
'x+1/2,-y+1/2,z'
loop_
_atom_site_label
_atom_site_type_symbol
_atom_site_fract_x
_atom_site_fract_y
_atom_site_fract_z
_atom_site_occupancy
Ca1 Ca 0.000 0.000 0.000 1
Cd1 Cd 0.244 0.000 0.502 1
Se1 Se 0.179 0.500 0.001 1
Se2 Se 0.436 0.000 0.500 1

***

# PBE NiS3N, relaxed
# * spin magnetization: 0.000 μB per formula unit
# * raw formation energy: 8.50 eV/f.u.
# * uncorrected energy: -3.5981 eV/atom
# * ΔE to the lowest computed polymorph: 410.8 meV per atom
# * N(E_F): 6.37 states/eV per cell
# * calculated density: 3.435 g cm⁻³
data_NiS3N
_space_group_name_H-M_alt 'P m -3 m'
_space_group_IT_number 221
_space_group_name_Hall '-P 4 2 3'
_cell_length_a 4.338
_cell_length_b 4.338
_cell_length_c 4.338
_cell_angle_alpha 90.00
_cell_angle_beta 90.00
_cell_angle_gamma 90.00
loop_
_atom_site_label
_atom_site_type_symbol
_atom_site_fract_x
_atom_site_fract_y
_atom_site_fract_z
_atom_site_occupancy
Ni1 Ni 0.000 0.000 0.000 1
S1 S 0.000 0.000 0.500 1
N1 N 0.500 0.500 0.500 1

***

# PBE LaSe2BrO, relaxed
# * spin magnetization: 4.008 μB per formula unit
# * raw formation energy: -0.41 eV/f.u.
# * uncorrected energy: -3.7879 eV/atom
# * ΔE to the lowest computed polymorph: 744.6 meV per atom
# * N(E_F): 8.36 states/eV per cell
# * calculated density: 3.169 g cm⁻³
data_LaSe2BrO
_space_group_name_H-M_alt 'P 4/m m m'
_space_group_IT_number 123
_space_group_name_Hall '-P 4 2'
_cell_length_a 5.950
_cell_length_b 5.950
_cell_length_c 5.811
_cell_angle_alpha 90.00
_cell_angle_beta 90.00
_cell_angle_gamma 90.00
loop_
_atom_site_label
_atom_site_type_symbol
_atom_site_fract_x
_atom_site_fract_y
_atom_site_fract_z
_atom_site_occupancy
La1 La 0.000 0.000 0.000 1
Se1 Se 0.000 0.500 0.000 1
Br1 Br 0.000 0.000 0.500 1
O1 O 0.500 0.500 0.500 1

***

# PBE RbSiHg2O4, relaxed
# * spin magnetization: 0.000 μB per formula unit
# * raw formation energy: -11.06 eV/f.u.
# * uncorrected energy: -4.7363 eV/atom
# * N(E_F): 3.39 states/eV per cell
# * calculated density: 7.191 g cm⁻³
data_RbSiHg2O4
_space_group_name_H-M_alt 'I -4 2 m'
_space_group_IT_number 121
_space_group_name_Hall 'I -4 2'
_cell_length_a 5.966
_cell_length_b 5.966
_cell_length_c 7.510
_cell_angle_alpha 90.00
_cell_angle_beta 90.00
_cell_angle_gamma 90.00
loop_
_atom_site_label
_atom_site_type_symbol
_atom_site_fract_x
_atom_site_fract_y
_atom_site_fract_z
_atom_site_occupancy
Rb1 Rb 0.000 0.000 0.000 1
Si1 Si 0.000 0.000 0.500 1
Hg1 Hg 0.000 0.500 0.250 1
O1 O 0.164 0.164 0.625 1

***

# PBE Ta2NiOs, relaxed
# * spin magnetization: 0.000 μB per formula unit
# * formation enthalpy at 0 K: -0.216 eV per atom
# * uncorrected energy: -10.3954 eV/atom
# * ΔE to the lowest computed polymorph: 34.4 meV per atom
# * N(E_F): 4.01 states/eV per cell
# * calculated density: 16.441 g cm⁻³
data_Ta2NiOs
_space_group_name_H-M_alt 'P 4/m m m'
_space_group_IT_number 123
_space_group_name_Hall '-P 4 2'
_cell_length_a 4.103
_cell_length_b 4.103
_cell_length_c 3.665
_cell_angle_alpha 90.00
_cell_angle_beta 90.00
_cell_angle_gamma 90.00
loop_
_atom_site_label
_atom_site_type_symbol
_atom_site_fract_x
_atom_site_fract_y
_atom_site_fract_z
_atom_site_occupancy
Ta1 Ta 0.000 0.500 0.000 1
Ni1 Ni 0.000 0.000 0.500 1
Os1 Os 0.500 0.500 0.500 1

***

# PBE MgBeCo2, relaxed
# * spin magnetization: 2.513 μB per formula unit
# * formation enthalpy at 0 K: 0.256 eV per atom
# * uncorrected energy: -4.6276 eV/atom
# * ΔE to the lowest computed polymorph: 264.7 meV per atom
# * N(E_F): 11.30 states/eV per cell
# * calculated density: 5.157 g cm⁻³
data_MgBeCo2
_space_group_name_H-M_alt 'R 3 m'
_space_group_IT_number 160
_space_group_name_Hall 'R 3 -2"'
_cell_length_a 2.6190
_cell_length_b 2.6190
_cell_length_c 24.5865
_cell_angle_alpha 90.00
_cell_angle_beta 90.00
_cell_angle_gamma 120.00
loop_
_atom_site_label
_atom_site_type_symbol
_atom_site_fract_x
_atom_site_fract_y
_atom_site_fract_z
_atom_site_occupancy
Mg1 Mg 0.0000 0.0000 0.0000 1
Be1 Be 0.0000 0.0000 0.7625 1
Co1 Co 0.0000 0.0000 0.2431 1
Co2 Co 0.0000 0.0000 0.4988 1

***

# PBE OsPt8, relaxed
# * spin magnetization: 0.000 μB per formula unit
# * formation enthalpy at 0 K: 0.088 eV per atom
# * uncorrected energy: -6.5294 eV/atom
# * ΔE to the lowest computed polymorph: 44.7 meV per atom
# * N(E_F): 21.80 states/eV per cell
# * calculated density: 20.513 g cm⁻³
data_OsPt8
_space_group_name_H-M_alt 'I 4/m m m'
_space_group_IT_number 139
_space_group_name_Hall '-I 4 2'
_cell_length_a 10.189
_cell_length_b 10.189
_cell_length_c 2.731
_cell_angle_alpha 90.00
_cell_angle_beta 90.00
_cell_angle_gamma 90.00
loop_
_atom_site_label
_atom_site_type_symbol
_atom_site_fract_x
_atom_site_fract_y
_atom_site_fract_z
_atom_site_occupancy
Os1 Os 0.000 0.000 0.000 1
Pt1 Pt 0.000 0.334 0.000 1
Pt2 Pt 0.163 0.163 0.500 1

***

# PBE TeMoBr2, relaxed
# * spin magnetization: 1.419 μB per formula unit
# * raw formation energy: 0.61 eV/f.u.
# * uncorrected energy: -4.1760 eV/atom
# * ΔE to the lowest computed polymorph: 364.4 meV per atom
# * N(E_F): 5.77 states/eV per cell
# * calculated density: 5.599 g cm⁻³
data_TeMoBr2
_space_group_name_H-M_alt 'I m m 2'
_space_group_IT_number 44
_cell_length_a 3.343
_cell_length_b 5.253
_cell_length_c 12.948
_cell_angle_alpha 90.00
_cell_angle_beta 90.00
_cell_angle_gamma 90.00
loop_
_space_group_symop_operation_xyz
'x,y,z'
'-x,-y,z'
'-x,y,z'
'x,-y,z'
'x+1/2,y+1/2,z+1/2'
'-x+1/2,-y+1/2,z+1/2'
'-x+1/2,y+1/2,z+1/2'
'x+1/2,-y+1/2,z+1/2'
loop_
_atom_site_label
_atom_site_type_symbol
_atom_site_fract_x
_atom_site_fract_y
_atom_site_fract_z
_atom_site_occupancy
Te1 Te 0.000 0.000 0.000 1
Mo1 Mo 0.000 0.500 0.662 1
Br1 Br 0.000 0.000 0.326 1
Br2 Br 0.000 0.500 0.160 1

***

# PBE Tl2InSe2, relaxed
# * spin magnetization: 0.000 μB per formula unit
# * raw formation energy: -0.66 eV/f.u.
# * uncorrected energy: -3.0197 eV/atom
# * ΔE to the lowest computed polymorph: 232.0 meV per atom
# * N(E_F): 3.30 states/eV per cell
# * calculated density: 7.292 g cm⁻³
data_Tl2InSe2
_space_group_name_H-M_alt 'I 4/m m m'
_space_group_IT_number 139
_space_group_name_Hall '-I 4 2'
_cell_length_a 4.657
_cell_length_b 4.657
_cell_length_c 14.309
_cell_angle_alpha 90.00
_cell_angle_beta 90.00
_cell_angle_gamma 90.00
loop_
_atom_site_label
_atom_site_type_symbol
_atom_site_fract_x
_atom_site_fract_y
_atom_site_fract_z
_atom_site_occupancy
Tl1 Tl 0.000 0.500 0.250 1
In1 In 0.000 0.000 0.000 1
Se1 Se 0.000 0.000 0.412 1

***

# PBE MgSi2Ni3, relaxed
# * spin magnetization: 0.000 μB per formula unit
# * raw formation energy: -2.93 eV/f.u.
# * uncorrected energy: -5.4518 eV/atom
# * N(E_F): 6.46 states/eV per cell
# * calculated density: 5.648 g cm⁻³
data_MgSi2Ni3
_space_group_name_H-M_alt 'P 63/m m c'
_space_group_IT_number 194
_space_group_name_Hall '-P 6c 2c'
_cell_length_a 3.9469
_cell_length_b 3.9469
_cell_length_c 11.1819
_cell_angle_alpha 90.00
_cell_angle_beta 90.00
_cell_angle_gamma 120.00
loop_
_atom_site_label
_atom_site_type_symbol
_atom_site_fract_x
_atom_site_fract_y
_atom_site_fract_z
_atom_site_occupancy
Mg1 Mg 0.0000 0.0000 0.2500 1
Si1 Si 0.3333 0.6667 0.0901 1
Ni1 Ni 0.0000 0.0000 0.0000 1
Ni2 Ni 0.3333 0.6667 0.6210 1

***

# PBE Ac4P3Br, relaxed
# * spin magnetization: 0.000 μB per formula unit
# * raw formation energy: -11.98 eV/f.u.
# * uncorrected energy: -5.7890 eV/atom
# * N(E_F): 5.87 states/eV per cell
# * calculated density: 7.185 g cm⁻³
data_Ac4P3Br
_space_group_name_H-M_alt 'C m m m'
_space_group_IT_number 65
_space_group_name_Hall '-C 2 2'
_cell_length_a 8.961
_cell_length_b 12.585
_cell_length_c 4.430
_cell_angle_alpha 90.00
_cell_angle_beta 90.00
_cell_angle_gamma 90.00
loop_
_atom_site_label
_atom_site_type_symbol
_atom_site_fract_x
_atom_site_fract_y
_atom_site_fract_z
_atom_site_occupancy
Ac1 Ac 0.000 0.241 0.000 1
Ac2 Ac 0.229 0.000 0.500 1
P1 P 0.000 0.000 0.000 1
P2 P 0.250 0.250 0.500 1
Br1 Br 0.000 0.500 0.000 1

***

# PBE Sr12H2Pb5, relaxed
# * spin magnetization: 0.000 μB per formula unit
# * uncorrected energy: -2.7495 eV/atom
# * N(E_F): 6.98 states/eV per cell
# * calculated density: 4.339 g cm⁻³
data_Sr12H2Pb5
_space_group_name_H-M_alt 'C 1 2/m 1'
_space_group_IT_number 12
_cell_length_a 18.011
_cell_length_b 8.574
_cell_length_c 10.844
_cell_angle_alpha 90.00
_cell_angle_beta 107.26
_cell_angle_gamma 90.00
loop_
_space_group_symop_operation_xyz
'x,y,z'
'-x,-y,-z'
'-x,y,-z'
'x,-y,z'
'x+1/2,y+1/2,z'
'-x+1/2,-y+1/2,-z'
'-x+1/2,y+1/2,-z'
'x+1/2,-y+1/2,z'
loop_
_atom_site_label
_atom_site_type_symbol
_atom_site_fract_x
_atom_site_fract_y
_atom_site_fract_z
_atom_site_occupancy
Sr1 Sr 0.001 0.000 0.306 1
Sr2 Sr 0.008 0.500 0.299 1
Sr3 Sr 0.154 0.249 0.073 1
Sr4 Sr 0.164 0.236 0.587 1
H1 H 0.000 0.180 0.500 1
Pb1 Pb 0.000 0.500 0.000 1
Pb2 Pb 0.187 0.000 0.848 1
Pb3 Pb 0.188 0.000 0.341 1

***

# PBE GaFeHRu2, relaxed
# * spin magnetization: 0.590 μB per formula unit
# * uncorrected energy: -5.5005 eV/atom
# * ΔE to the lowest computed polymorph: 1187.2 meV per atom
# * N(E_F): 10.33 states/eV per cell
# * calculated density: 8.350 g cm⁻³
data_GaFeHRu2
_space_group_name_H-M_alt 'P 4/m m m'
_space_group_IT_number 123
_space_group_name_Hall '-P 4 2'
_cell_length_a 4.704
_cell_length_b 4.704
_cell_length_c 2.955
_cell_angle_alpha 90.00
_cell_angle_beta 90.00
_cell_angle_gamma 90.00
loop_
_atom_site_label
_atom_site_type_symbol
_atom_site_fract_x
_atom_site_fract_y
_atom_site_fract_z
_atom_site_occupancy
Ga1 Ga 0.000 0.000 0.000 1
Fe1 Fe 0.500 0.500 0.500 1
H1 H 0.000 0.000 0.500 1
Ru1 Ru 0.000 0.500 0.000 1

***

# PBE TlAg3Te3, relaxed
# * spin magnetization: 0.000 μB per formula unit
# * raw formation energy: -0.31 eV/f.u.
# * uncorrected energy: -2.9506 eV/atom
# * ΔE to the lowest computed polymorph: 25.6 meV per atom
# * N(E_F): 10.24 states/eV per cell
# * calculated density: 7.334 g cm⁻³
data_TlAg3Te3
_space_group_name_H-M_alt 'P 63/m'
_space_group_IT_number 176
_space_group_name_Hall '-P 6c'
_cell_length_a 10.1037
_cell_length_b 10.1037
_cell_length_c 4.6650
_cell_angle_alpha 90.00
_cell_angle_beta 90.00
_cell_angle_gamma 120.00
loop_
_atom_site_label
_atom_site_type_symbol
_atom_site_fract_x
_atom_site_fract_y
_atom_site_fract_z
_atom_site_occupancy
Tl1 Tl 0.3333 0.6667 0.2500 1
Ag1 Ag 0.0465 0.6010 0.7500 1
Te1 Te 0.0792 0.3358 0.7500 1

***

# PBE CdP, relaxed
# * spin magnetization: 0.000 μB per formula unit
# * formation enthalpy at 0 K: 0.061 eV per atom
# * uncorrected energy: -3.1019 eV/atom
# * ΔE to the lowest computed polymorph: 102.3 meV per atom
# * N(E_F): 2.15 states/eV per cell
# * calculated density: 5.467 g cm⁻³
data_CdP
_space_group_name_H-M_alt 'C 1 2/m 1'
_space_group_IT_number 12
_cell_length_a 7.717
_cell_length_b 3.257
_cell_length_c 7.256
_cell_angle_alpha 90.00
_cell_angle_beta 107.19
_cell_angle_gamma 90.00
loop_
_space_group_symop_operation_xyz
'x,y,z'
'-x,-y,-z'
'-x,y,-z'
'x,-y,z'
'x+1/2,y+1/2,z'
'-x+1/2,-y+1/2,-z'
'-x+1/2,y+1/2,-z'
'x+1/2,-y+1/2,z'
loop_
_atom_site_label
_atom_site_type_symbol
_atom_site_fract_x
_atom_site_fract_y
_atom_site_fract_z
_atom_site_occupancy
Cd1 Cd 0.091 0.000 0.350 1
P1 P 0.212 0.500 0.894 1

***

# PBE Sr3Li4Tl4, relaxed
# * spin magnetization: 0.000 μB per formula unit
# * formation enthalpy at 0 K: -0.269 eV per atom
# * uncorrected energy: -2.2844 eV/atom
# * N(E_F): 8.30 states/eV per cell
# * calculated density: 5.797 g cm⁻³
data_Sr3Li4Tl4
_space_group_name_H-M_alt 'P -1'
_space_group_IT_number 2
_cell_length_a 4.158
_cell_length_b 5.028
_cell_length_c 15.524
_cell_angle_alpha 80.71
_cell_angle_beta 82.39
_cell_angle_gamma 89.98
loop_
_space_group_symop_operation_xyz
'x,y,z'
'-x,-y,-z'
loop_
_atom_site_label
_atom_site_type_symbol
_atom_site_fract_x
_atom_site_fract_y
_atom_site_fract_z
_atom_site_occupancy
Sr1 Sr 0.000 0.000 0.000 1
Sr2 Sr 0.148 0.650 0.704 1
Li1 Li 0.256 0.255 0.489 1
Li2 Li 0.402 0.902 0.194 1
Tl1 Tl 0.307 0.806 0.384 1
Tl2 Tl 0.447 0.447 0.104 1

***

# PBE CeMnB, relaxed
# * spin magnetization: 0.000 μB per formula unit
# * formation enthalpy at 0 K: -0.084 eV per atom
# * uncorrected energy: -7.3448 eV/atom
# * N(E_F): 2.37 states/eV per cell
# * calculated density: 7.527 g cm⁻³
data_CeMnB
_space_group_name_H-M_alt 'P -6 m 2'
_space_group_IT_number 187
_space_group_name_Hall 'P -6 2'
_cell_length_a 3.6334
_cell_length_b 3.6334
_cell_length_c 3.9723
_cell_angle_alpha 90.00
_cell_angle_beta 90.00
_cell_angle_gamma 120.00
loop_
_atom_site_label
_atom_site_type_symbol
_atom_site_fract_x
_atom_site_fract_y
_atom_site_fract_z
_atom_site_occupancy
Ce1 Ce 0.0000 0.0000 0.0000 1
Mn1 Mn 0.6667 0.3333 0.5000 1
B1 B 0.3333 0.6667 0.5000 1

***

# PBE La4Br6N, relaxed
# * spin magnetization: 1.544 μB per formula unit
# * raw formation energy: -18.61 eV/f.u.
# * uncorrected energy: -5.1528 eV/atom
# * N(E_F): 9.07 states/eV per cell
# * calculated density: 5.292 g cm⁻³
data_La4Br6N
_space_group_name_H-M_alt 'P 63 m c'
_space_group_IT_number 186
_space_group_name_Hall 'P 6c -2c'
_cell_length_a 9.7243
_cell_length_b 9.7243
_cell_length_c 8.0390
_cell_angle_alpha 90.00
_cell_angle_beta 90.00
_cell_angle_gamma 120.00
loop_
_atom_site_label
_atom_site_type_symbol
_atom_site_fract_x
_atom_site_fract_y
_atom_site_fract_z
_atom_site_occupancy
La1 La 0.2005 0.4009 0.0000 1
La2 La 0.3333 0.6667 0.3494 1
Br1 Br 0.0490 0.5245 0.6992 1
Br2 Br 0.1390 0.2780 0.3787 1
N1 N 0.3333 0.6667 0.0430 1

***

# PBE La2NiBr, relaxed
# * spin magnetization: 0.000 μB per formula unit
# * raw formation energy: -1.94 eV/f.u.
# * uncorrected energy: -4.8124 eV/atom
# * ΔE to the lowest computed polymorph: 388.7 meV per atom
# * N(E_F): 8.77 states/eV per cell
# * calculated density: 6.449 g cm⁻³
data_La2NiBr
_space_group_name_H-M_alt 'I -4 m 2'
_space_group_IT_number 119
_space_group_name_Hall 'I -4 -2'
_cell_length_a 4.152
_cell_length_b 4.152
_cell_length_c 12.439
_cell_angle_alpha 90.00
_cell_angle_beta 90.00
_cell_angle_gamma 90.00
loop_
_atom_site_label
_atom_site_type_symbol
_atom_site_fract_x
_atom_site_fract_y
_atom_site_fract_z
_atom_site_occupancy
La1 La 0.000 0.000 0.000 1
La2 La 0.000 0.500 0.250 1
Ni1 Ni 0.000 0.500 0.750 1
Br1 Br 0.000 0.000 0.500 1

***

# PBE Ti2NbGaH, relaxed
# * spin magnetization: 0.000 μB per formula unit
# * uncorrected energy: -6.6783 eV/atom
# * ΔE to the lowest computed polymorph: 135.6 meV per atom
# * N(E_F): 5.25 states/eV per cell
# * calculated density: 6.238 g cm⁻³
data_Ti2NbGaH
_space_group_name_H-M_alt 'P 4/m m m'
_space_group_IT_number 123
_space_group_name_Hall '-P 4 2'
_cell_length_a 3.878
_cell_length_b 3.878
_cell_length_c 4.591
_cell_angle_alpha 90.00
_cell_angle_beta 90.00
_cell_angle_gamma 90.00
loop_
_atom_site_label
_atom_site_type_symbol
_atom_site_fract_x
_atom_site_fract_y
_atom_site_fract_z
_atom_site_occupancy
Ti1 Ti 0.000 0.500 0.000 1
Nb1 Nb 0.000 0.000 0.500 1
Ga1 Ga 0.500 0.500 0.500 1
H1 H 0.500 0.500 0.000 1